No. 1
The following is a DFT calculation (PBE) of crystalline PuBO3 at its relaxed geometry. Values from VASP.

The structure in Quantum ESPRESSO input format:
```
&SYSTEM
  ibrav = 0, nat = 10, ntyp = 3
/
ATOMIC_SPECIES
Pu 244.00 Pu.upf
B 10.81 B.upf
O 16.00 O.upf
CELL_PARAMETERS angstrom
3.8956 0.0000 0.0000
-0.2071 3.8988 0.0000
-1.5154 -1.6425 9.2850
ATOMIC_POSITIONS angstrom
Pu 0.0000 0.0000 0.0000
Pu 0.2448 0.2246 6.4550
B 2.4071 1.4019 1.9429
B 2.6601 1.6369 4.5144
O -0.1907 2.3029 5.0969
O 0.2594 2.1440 7.8735
O 1.7868 0.3191 1.3821
O 2.2466 1.8181 3.2298
O 2.1172 0.6432 5.3506
O 3.3487 1.9982 1.0815
```

Properties
**Formation energy (no corrections)**: -1229.8 kJ/mol of formula units
**Total magnetization**: 1.000 μB per atom
**Space-group type**: P1 (1)

=====

No. 2
The following is a DFT calculation (PBE) of crystalline Sr3ScTl12 at its relaxed geometry. Values from VASP.

The structure in Quantum ESPRESSO input format:
```
&SYSTEM
  ibrav = 0, nat = 16, ntyp = 3
/
ATOMIC_SPECIES
Sr 87.62 Sr.upf
Sc 44.96 Sc.upf
Tl 204.38 Tl.upf
CELL_PARAMETERS angstrom
4.9592 0.0000 0.0000
0.0000 4.9592 0.0000
0.0000 0.0000 19.3338
ATOMIC_POSITIONS angstrom
Sr 0.0000 0.0000 0.0000
Sr 0.0000 0.0000 5.0576
Sr 0.0000 0.0000 14.2763
Sc 0.0000 0.0000 9.6669
Tl 0.0000 2.4796 2.5052
Tl 0.0000 2.4796 7.4952
Tl 0.0000 2.4796 11.8386
Tl 0.0000 2.4796 16.8286
Tl 2.4796 0.0000 2.5052
Tl 2.4796 0.0000 7.4952
Tl 2.4796 0.0000 11.8386
Tl 2.4796 0.0000 16.8286
Tl 2.4796 2.4796 0.0000
Tl 2.4796 2.4796 4.8824
Tl 2.4796 2.4796 9.6669
Tl 2.4796 2.4796 14.4514
```

Properties
**Total magnetization**: 0.000 μB per atom
**Space-group type**: P4/mmm (123)
**Energy of formation from the pure elements**: -0.210 eV/atom

=====

No. 3
The following is a DFT calculation (PBE) of crystalline Sm4Cu2Pd at its relaxed geometry. Values from VASP.

The structure in Quantum ESPRESSO input format:
```
&SYSTEM
  ibrav = 0, nat = 7, ntyp = 3
/
ATOMIC_SPECIES
Sm 150.36 Sm.upf
Cu 63.55 Cu.upf
Pd 106.42 Pd.upf
CELL_PARAMETERS angstrom
2.4985 1.4425 8.1724
-2.4985 1.4425 8.1724
0.0000 -2.8850 8.1724
ATOMIC_POSITIONS angstrom
Sm 0.0000 0.0000 3.0365
Sm 0.0000 0.0000 9.1644
Sm 0.0000 0.0000 15.3528
Sm 0.0000 0.0000 21.4807
Cu 0.0000 0.0000 6.1941
Cu 0.0000 0.0000 18.3230
Pd 0.0000 0.0000 12.2586
```

Properties
**Total magnetization**: 0.000 μB per atom
**Space-group type**: R-3m (166)
**Energy of formation from the pure elements**: -0.235 eV/atom